[1]
The following is a PBE calculation of an optimized crystal structure of Tc2HgW, from Alexandria.

Magnetic moment: 0.00 μB per formula unit
Space group: No. 47
Energy: -8.09 eV per atom

a = 2.940 Å, b = 3.881 Å, c = 5.865 Å
α = 90.00°, β = 90.00°, γ = 90.00°
Fractional positions:
Tc 0.000 0.000 0.040
Tc 0.000 0.000 0.460
Hg 0.500 0.500 0.750
W 0.500 0.500 0.250

---

[2]
The following is a PBE calculation of an optimized crystal structure of Hg2Au2Br7, from Alexandria.

Magnetic moment: 0.00 μB per formula unit
Energy relative to the elements, uncorrected: -23 kJ/mol of atoms
Space group: No. 15

a = 8.218 Å, b = 8.218 Å, c = 15.190 Å
α = 104.63°, β = 104.63°, γ = 111.34°
Fractional positions:
Br 0.886 0.496 0.708
Br 0.979 0.021 0.250
Br 0.573 0.369 0.376
Br 0.631 0.427 0.124
Br 0.114 0.504 0.292
Br 0.285 0.040 0.522
Br 0.427 0.631 0.624
Br 0.504 0.114 0.792
Br 0.021 0.979 0.750
Br 0.369 0.573 0.876
Br 0.715 0.960 0.478
Br 0.040 0.285 0.022
Br 0.960 0.715 0.978
Br 0.496 0.886 0.208
Au 0.979 0.707 0.232
Au 0.707 0.979 0.732
Au 0.293 0.021 0.268
Au 0.021 0.293 0.768
Hg 0.741 0.368 0.973
Hg 0.632 0.259 0.527
Hg 0.368 0.741 0.473
Hg 0.259 0.632 0.027

---

[3]
The following is a PBE calculation of an optimized crystal structure of Ho2SnHg3, from Alexandria.

Magnetic moment: 0.00 μB per formula unit
Space group: No. 69
Energy: -2.74 eV per atom

a = 6.061 Å, b = 6.061 Å, c = 9.868 Å
α = 114.26°, β = 114.26°, γ = 70.27°
Fractional positions:
Sn 0.665 0.665 0.331
Sn 0.335 0.335 0.669
Ho 0.754 0.246 0.000
Ho 0.246 0.754 0.000
Ho 0.750 0.250 0.500
Ho 0.250 0.750 0.500
Hg 0.165 0.165 0.331
Hg 0.834 0.834 0.166
Hg 0.835 0.835 0.669
Hg 0.332 0.332 0.166
Hg 0.668 0.668 0.834
Hg 0.166 0.166 0.834